[1]
This record from Alexandria describes a geometry-optimized BiSbPd structure. The functional is PBE-GGA.

extended XYZ file:
```
6
Lattice="5.1300 0.0000 0.0000 0.0000 4.4427 0.0000 -1.8588 0.0000 6.8195" Properties=species:S:1:pos:R:3 pbc="T T T"
Bi 0.4223 1.1107 3.0484
Bi 2.8489 3.3320 3.7710
Sb -0.5561 1.1107 6.5695
Sb 3.8273 3.3320 0.2500
Pd 1.2604 3.3320 1.3776
Pd 2.0108 1.1107 5.4418
```

Calculated values
As for the symmetry: P2_1/m. As for the uncorrected formation energy: -271.4 meV/atom. The calculation puts the energy above the lowest structure with this stoichiometry at 13 meV/atom. Its volume is 155.4 Å³/cell. Its total magnetic moment is 0.00 μB per cell.

---

[2]
This record from Alexandria describes a geometry-optimized SiMo2Pb structure. The functional is PBE-GGA.

extended XYZ file:
```
4
Lattice="-1.6154 1.8244 6.3288 1.6154 -1.8244 6.3288 1.6154 1.8244 -6.3288" Properties=species:S:1:pos:R:3 pbc="T T T"
Si 0.0000 0.0000 0.0000
Mo 0.0000 0.0000 5.6367
Mo 0.0000 1.8244 1.7107
Pb 1.6154 0.0000 3.2403
```

Calculated values
As for the symmetry: Imm2. As for the uncorrected formation energy: 322.2 meV/atom. The calculation puts the energy above the lowest structure with this stoichiometry at 163 meV/atom. Its volume is 74.6 Å³/cell. Its total magnetic moment is 0.00 μB per cell.

---

[3]
This record from Alexandria describes a geometry-optimized SrY2Zn structure. The functional is PBE-GGA.

extended XYZ file:
```
4
Lattice="0.0000 3.9436 3.9436 3.9436 0.0000 3.9436 3.9436 3.9436 0.0000" Properties=species:S:1:pos:R:3 pbc="T T T"
Sr 0.0000 0.0000 0.0000
Y 1.9718 1.9718 1.9718
Y 3.9436 3.9436 3.9436
Zn 5.9154 5.9154 5.9154
```

Calculated values
As for the symmetry: F-43m. Its volume is 122.7 Å³/cell. The final energy comes out at -3.7653 eV/atom. Its total magnetic moment is 0.00 μB per cell.

---

[4]
This record from Alexandria describes a geometry-optimized Ce2Br3 structure. The functional is PBE-GGA.

extended XYZ file:
```
10
Lattice="3.3707 1.9461 8.3370 -3.3707 1.9461 8.3370 0.0000 -3.8922 8.3370" Properties=species:S:1:pos:R:3 pbc="T T T"
Ce 0.0000 0.0000 4.1789
Ce 0.0000 0.0000 8.3266
Ce 0.0000 0.0000 16.6845
Ce 0.0000 0.0000 20.8322
Br -2.2388 0.0144 10.4213
Br -1.1319 -1.9317 14.5898
Br 1.1070 -1.9461 10.4213
Br -1.1070 1.9461 14.5898
Br 1.1319 1.9317 10.4213
Br 2.2388 -0.0144 14.5898
```

Calculated values
As for the symmetry: R-3c. As for the uncorrected formation energy: -1263.5 meV/atom. Its volume is 328.1 Å³/cell. Its total magnetic moment is 9.42 μB per cell.

---

[5]
This record from Alexandria describes a geometry-optimized LiZr2Cl structure. The functional is PBE-GGA.

extended XYZ file:
```
4
Lattice="1.6622 0.9597 8.9777 -1.6622 0.9597 8.9777 0.0000 -1.9194 8.9777" Properties=species:S:1:pos:R:3 pbc="T T T"
Li 0.0000 0.0000 0.0000
Zr 0.0000 0.0000 14.0174
Zr 0.0000 0.0000 20.5872
Cl 0.0000 0.0000 6.9950
```

Calculated values
As for the symmetry: R3m. As for the uncorrected formation energy: -529.1 meV/atom. The calculation puts the energy above the lowest structure with this stoichiometry at 23 meV/atom. Its volume is 85.9 Å³/cell. Its total magnetic moment is 0.00 μB per cell.

---

[6]
This record from Alexandria describes a geometry-optimized Np2Zn16Os structure. The functional is PBE-GGA.

extended XYZ file:
```
19
Lattice="4.5118 2.6049 4.3328 -4.5118 2.6049 4.3328 0.0000 -5.2097 4.3328" Properties=species:S:1:pos:R:3 pbc="T T T"
Np 0.0000 0.0000 12.9923
Np 0.0000 0.0000 4.3328
Zn 0.0000 -2.5860 2.5268
Zn -2.2396 1.2930 2.5268
Zn -2.2589 -1.3042 6.6361
Zn 0.0000 -2.7182 6.3844
Zn -2.3540 1.3591 6.3844
Zn -1.2972 -2.2455 8.8203
Zn -2.5933 -0.0006 8.8203
Zn 2.2396 1.2930 2.5268
Zn 0.0000 0.0000 7.4897
Zn 2.2589 -1.3042 6.6361
Zn 0.0000 2.6083 6.6361
Zn 1.2972 -2.2455 8.8203
Zn -1.2961 2.2462 8.8203
Zn 2.3540 1.3591 6.3844
Zn 2.5933 -0.0006 8.8203
Zn 1.2961 2.2462 8.8203
Os 0.0000 0.0000 10.2401
```

Calculated values
As for the symmetry: R3m. Its volume is 305.5 Å³/cell. The final energy comes out at -3.0430 eV/atom. Its total magnetic moment is 8.09 μB per cell.

---

Q: Which formula does entry 6 have?
A: Np2Zn16Os

---

What did the second record say?
This record from Alexandria describes a geometry-optimized SiMo2Pb structure. The functional is PBE-GGA.

extended XYZ file:
```
4
Lattice="-1.6154 1.8244 6.3288 1.6154 -1.8244 6.3288 1.6154 1.8244 -6.3288" Properties=species:S:1:pos:R:3 pbc="T T T"
Si 0.0000 0.0000 0.0000
Mo 0.0000 0.0000 5.6367
Mo 0.0000 1.8244 1.7107
Pb 1.6154 0.0000 3.2403
```

Calculated values
As for the symmetry: Imm2. As for the uncorrected formation energy: 322.2 meV/atom. The calculation puts the energy above the lowest structure with this stoichiometry at 163 meV/atom. Its volume is 74.6 Å³/cell. Its total magnetic moment is 0.00 μB per cell.

---

Q: What is the formula in the second record?
A: SiMo2Pb